Entry 1:
Density functional theory data (PBE-GGA) for crystalline Y4Ho2Tm2Th at its relaxed geometry.

```
Y4Ho2Tm2Th
1.0
9.280 -1.790 0.000
9.280 1.790 0.000
-4.111 0.000 8.565
Y Ho Tm Th
4 2 2 1
Cartesian
-1.021 0.000 2.832
3.104 0.000 5.717
11.345 0.000 2.847
15.470 0.000 5.733
5.157 0.000 2.843
9.291 0.000 5.722
3.067 0.000 0.012
11.381 0.000 8.553
9.280 0.000 0.000
```

Calculated values
Space-group type: No. 12


Entry 2:
Density functional theory data (PBE-GGA) for crystalline YHo3Tm6Th2 at its relaxed geometry.

```
YHo3Tm6Th2
1.0
3.055 -5.288 0.000
3.055 5.288 0.000
-2.040 0.000 11.451
Y Ho Tm Th
1 3 6 2
Cartesian
0.000 0.000 0.000
2.035 3.529 5.726
2.035 0.000 5.726
2.035 -3.529 5.726
1.032 1.784 2.853
0.023 0.000 8.597
1.032 -1.784 2.853
3.038 1.784 8.598
4.048 0.000 2.855
3.038 -1.784 8.598
3.055 1.763 0.000
3.055 -1.763 0.000
```

Calculated values
Space-group type: No. 12


Entry 3:
Density functional theory data (PBE-GGA) for crystalline Y3HoTm6Th2 at its relaxed geometry.

```
Y3HoTm6Th2
1.0
3.062 -5.299 0.000
3.062 5.299 0.000
-2.042 0.000 11.488
Y Ho Tm Th
3 1 6 2
Cartesian
0.000 0.000 0.000
3.062 1.762 0.000
3.062 -1.762 0.000
2.041 0.000 5.744
1.008 1.785 2.906
-0.022 0.000 8.585
1.008 -1.785 2.906
3.074 1.785 8.582
4.104 0.000 2.903
3.074 -1.785 8.582
2.041 3.532 5.744
2.041 -3.532 5.744
```

Calculated values
Space-group type: No. 12


Entry 4:
Density functional theory data (PBE-GGA) for crystalline YHoTmTh at its relaxed geometry.

```
YHoTmTh
1.0
3.577 0.000 0.000
-1.789 3.098 0.000
0.000 0.000 34.102
Y Ho Tm Th
3 3 3 3
Cartesian
0.000 0.000 0.000
0.000 2.065 22.735
1.789 1.033 11.367
0.000 0.000 14.285
0.000 2.065 2.917
1.789 1.033 25.652
0.000 0.000 5.734
0.000 2.065 28.468
1.789 1.033 17.101
0.000 0.000 19.871
0.000 2.065 8.504
1.789 1.033 31.239
```

Calculated values
Space-group type: No. 160
Energy above the most stable polymorph in this dataset in meV per atom: 0


Entry 5:
Density functional theory data (PBE-GGA) for crystalline Y5Ho2TmTh at its relaxed geometry.

```
Y5Ho2TmTh
1.0
2.825 -10.320 0.000
2.825 10.320 0.000
0.000 0.000 10.101
Y Ho Tm Th
10 4 2 2
Cartesian
2.825 10.011 5.051
2.825 4.801 8.242
2.825 4.106 1.935
2.825 2.475 5.192
2.825 0.436 2.285
2.825 -0.436 7.335
2.825 -2.475 0.141
2.825 -4.106 6.985
2.825 -4.801 3.191
2.825 -10.011 0.000
2.825 8.042 8.088
2.825 7.888 2.147
2.825 -7.888 7.197
2.825 -8.042 3.037
2.825 1.982 9.367
2.825 -1.982 4.316
2.825 6.372 5.108
2.825 -6.372 0.057
```

Calculated values
Space-group type: No. 36


Entry 6:
Density functional theory data (PBE-GGA) for crystalline Y3Ho6TmTh2 at its relaxed geometry.

```
Y3Ho6TmTh2
1.0
3.071 -5.316 0.000
3.071 5.316 0.000
-2.050 0.000 11.571
Y Ho Tm Th
3 6 1 2
Cartesian
0.000 0.000 0.000
3.071 1.770 0.000
3.071 -1.770 0.000
1.014 1.786 2.930
-0.019 0.000 8.646
1.014 -1.786 2.930
3.079 1.786 8.641
4.112 0.000 2.925
3.079 -1.786 8.641
2.047 0.000 5.786
2.047 3.546 5.786
2.047 -3.546 5.786
```

Calculated values
Space-group type: No. 12


Entry 7:
Density functional theory data (PBE-GGA) for crystalline Y3HoTmTh at its relaxed geometry.

```
Y3HoTmTh
1.0
2.921 -5.596 0.000
2.921 5.596 0.000
0.000 0.000 11.700
Y Ho Tm Th
6 2 2 2
Cartesian
2.921 3.712 5.881
2.921 3.712 11.669
2.921 1.988 2.925
2.921 -1.988 8.775
2.921 -3.712 0.031
2.921 -3.712 5.819
2.921 0.000 0.000
2.921 0.000 5.850
2.921 1.904 8.775
2.921 -1.904 2.925
2.921 -5.595 2.925
2.921 5.595 8.775
```

Calculated values
Space-group type: No. 63


Entry 8:
Density functional theory data (PBE-GGA) for crystalline Y6HoTm3Th2 at its relaxed geometry.

```
Y6HoTm3Th2
1.0
3.080 -5.329 0.000
3.080 5.329 0.000
-2.053 0.000 11.580
Y Ho Tm Th
6 1 3 2
Cartesian
-0.011 1.791 8.693
1.009 0.000 2.889
-0.011 -1.791 8.693
4.117 1.791 2.887
3.097 0.000 8.691
4.117 -1.791 2.887
3.080 0.000 0.000
-1.026 0.000 5.790
2.053 1.773 5.790
2.053 -1.773 5.790
3.080 3.553 0.000
3.080 -3.553 0.000
```

Calculated values
Space-group type: No. 12


| no. | energy of formation from the pure elements (eV/f.u.) |
| --- | --- |
| 1 | 0.0 |
| 2 | 0.3 |
| 3 | 0.3 |
| 4 | 0.0 |
| 5 | 1.4 |
| 6 | 0.3 |
| 7 | 0.8 |
| 8 | 0.4 |